(1)
# Dy2TmIr3 (PBE-GGA, relaxed)
# Formation energy from the elements = -0.848 eV per atom
# Magnetization = 0.00 μB/f.u.
# E above lowest polymorph = 0.0000 eV per atom
# DOS at the Fermi energy = 2.70 states/eV per cell
data_Dy2TmIr3
_symmetry_space_group_name_H-M 'P -3 m 1'
_symmetry_Int_Tables_number 164
_symmetry_space_group_name_Hall '-P 3 2"'
_cell_length_a 4.8266
_cell_length_b 4.8266
_cell_length_c 5.9099
_cell_angle_alpha 90.00
_cell_angle_beta 90.00
_cell_angle_gamma 120.00
loop_
_atom_site_label
_atom_site_type_symbol
_atom_site_fract_x
_atom_site_fract_y
_atom_site_fract_z
Dy1 Dy 0.3333 0.6667 0.1676
Tm1 Tm 0.0000 0.0000 0.5000
Ir1 Ir 0.0000 0.0000 0.0000
Ir2 Ir 0.3333 0.6667 0.6640

---

(2)
# ThGe3Rh (PBE-GGA, relaxed)
# Formation energy from the elements = -0.644 eV per atom
# Magnetization = 0.00 μB/f.u.
# DOS at the Fermi energy = 2.82 states/eV per cell
data_ThGe3Rh
_symmetry_space_group_name_H-M 'P m n 21'
_symmetry_Int_Tables_number 31
_symmetry_space_group_name_Hall 'P 2ac -2'
_cell_length_a 6.142
_cell_length_b 5.687
_cell_length_c 5.865
_cell_angle_alpha 90.00
_cell_angle_beta 90.00
_cell_angle_gamma 90.00
loop_
_atom_site_label
_atom_site_type_symbol
_atom_site_fract_x
_atom_site_fract_y
_atom_site_fract_z
Th1 Th 0.000 0.142 0.000
Ge1 Ge 0.000 0.913 0.544
Ge2 Ge 0.233 0.318 0.453
Rh1 Rh 0.000 0.612 0.252

---

(3)
# KPm2Br2F5 (PBE-GGA, relaxed)
# Magnetization = 0.00 μB/f.u.
# Formation energy (no corrections) = -31.3 eV per formula unit
# DOS at the Fermi energy = 0.00 states/eV per cell
data_KPm2Br2F5
_symmetry_space_group_name_H-M 'P 4/m b m'
_symmetry_Int_Tables_number 127
_symmetry_space_group_name_Hall '-P 4 2ab'
_cell_length_a 10.351
_cell_length_b 10.351
_cell_length_c 3.598
_cell_angle_alpha 90.00
_cell_angle_beta 90.00
_cell_angle_gamma 90.00
loop_
_atom_site_label
_atom_site_type_symbol
_atom_site_fract_x
_atom_site_fract_y
_atom_site_fract_z
K1 K 0.000 0.000 0.000
Pm1 Pm 0.128 0.372 0.000
Br1 Br 0.168 0.668 0.000
F1 F 0.000 0.500 0.500
F2 F 0.078 0.235 0.500

---

(4)
# CaPmGe2 (PBE-GGA, relaxed)
# Formation energy from the elements = -0.746 eV per atom
# Magnetization = 0.00 μB/f.u.
# DOS at the Fermi energy = 4.75 states/eV per cell
data_CaPmGe2
_symmetry_space_group_name_H-M 'A m m 2'
_symmetry_Int_Tables_number 38
_symmetry_space_group_name_Hall 'A 2 -2'
_cell_length_a 4.013
_cell_length_b 4.489
_cell_length_c 10.976
_cell_angle_alpha 90.00
_cell_angle_beta 90.00
_cell_angle_gamma 90.00
loop_
_atom_site_label
_atom_site_type_symbol
_atom_site_fract_x
_atom_site_fract_y
_atom_site_fract_z
Ca1 Ca 0.000 0.000 0.000
Pm1 Pm 0.500 0.000 0.277
Ge1 Ge 0.000 0.000 0.718
Ge2 Ge 0.500 0.000 0.560

---

(5)
# PuCd2Sn (PBE-GGA, relaxed)
# Formation energy from the elements = -0.033 eV per atom
# Magnetization = 5.82 μB/f.u.
# E above lowest polymorph = 0.1418 eV per atom
# DOS at the Fermi energy = 53.40 states/eV per cell
data_PuCd2Sn
_symmetry_space_group_name_H-M 'F m -3 m'
_symmetry_Int_Tables_number 225
_symmetry_space_group_name_Hall '-F 4 2 3'
_cell_length_a 7.386
_cell_length_b 7.386
_cell_length_c 7.386
_cell_angle_alpha 90.00
_cell_angle_beta 90.00
_cell_angle_gamma 90.00
loop_
_atom_site_label
_atom_site_type_symbol
_atom_site_fract_x
_atom_site_fract_y
_atom_site_fract_z
Pu1 Pu 0.000 0.000 0.000
Cd1 Cd 0.250 0.250 0.250
Sn1 Sn 0.000 0.000 0.500

---

(6)
# SrInPt3 (PBE-GGA, relaxed)
# Formation energy from the elements = 1.216 eV per atom
# Magnetization = 0.00 μB/f.u.
# E above lowest polymorph = 1.1577 eV per atom
# DOS at the Fermi energy = 7.94 states/eV per cell
data_SrInPt3
_symmetry_space_group_name_H-M 'P m -3 m'
_symmetry_Int_Tables_number 221
_symmetry_space_group_name_Hall '-P 4 2 3'
_cell_length_a 5.246
_cell_length_b 5.246
_cell_length_c 5.246
_cell_angle_alpha 90.00
_cell_angle_beta 90.00
_cell_angle_gamma 90.00
loop_
_atom_site_label
_atom_site_type_symbol
_atom_site_fract_x
_atom_site_fract_y
_atom_site_fract_z
Sr1 Sr 0.000 0.000 0.000
In1 In 0.500 0.500 0.500
Pt1 Pt 0.000 0.000 0.500

---

(7)
# ZrPd4 (PBE-GGA, relaxed)
# Formation energy from the elements = 0.744 eV per atom
# Magnetization = 0.00 μB/f.u.
# DOS at the Fermi energy = 2.69 states/eV per cell
data_ZrPd4
_symmetry_space_group_name_H-M 'P m -3 m'
_symmetry_Int_Tables_number 221
_symmetry_space_group_name_Hall '-P 4 2 3'
_cell_length_a 4.835
_cell_length_b 4.835
_cell_length_c 4.835
_cell_angle_alpha 90.00
_cell_angle_beta 90.00
_cell_angle_gamma 90.00
loop_
_atom_site_label
_atom_site_type_symbol
_atom_site_fract_x
_atom_site_fract_y
_atom_site_fract_z
Zr1 Zr 0.000 0.000 0.000
Pd1 Pd 0.000 0.000 0.500
Pd2 Pd 0.500 0.500 0.500

---

(8)
# Li3Cu7P4 (PBE-GGA, relaxed)
# Formation energy from the elements = -0.284 eV per atom
# Magnetization = 0.00 μB/f.u.
# DOS at the Fermi energy = 11.81 states/eV per cell
data_Li3Cu7P4
_symmetry_space_group_name_H-M 'C 1 2/m 1'
_symmetry_Int_Tables_number 12
_symmetry_space_group_name_Hall '-C 2y'
_cell_length_a 14.087
_cell_length_b 3.806
_cell_length_c 8.610
_cell_angle_alpha 90.00
_cell_angle_beta 124.03
_cell_angle_gamma 90.00
loop_
_atom_site_label
_atom_site_type_symbol
_atom_site_fract_x
_atom_site_fract_y
_atom_site_fract_z
Li1 Li 0.000 0.000 0.000
Li2 Li 0.183 0.500 0.681
Cu1 Cu 0.000 0.000 0.500
Cu2 Cu 0.009 0.500 0.278
Cu3 Cu 0.164 0.000 0.418
Cu4 Cu 0.190 0.500 0.023
P1 P 0.109 0.000 0.818
P2 P 0.171 0.500 0.273

---

(9)
# Ag3HgIr (PBE-GGA, relaxed)
# Formation energy from the elements = 1.041 eV per atom
# Magnetization = 0.73 μB/f.u.
# E above lowest polymorph = 0.0000 eV per atom
# DOS at the Fermi energy = 4.54 states/eV per cell
data_Ag3HgIr
_symmetry_space_group_name_H-M 'P m -3 m'
_symmetry_Int_Tables_number 221
_symmetry_space_group_name_Hall '-P 4 2 3'
_cell_length_a 5.111
_cell_length_b 5.111
_cell_length_c 5.111
_cell_angle_alpha 90.00
_cell_angle_beta 90.00
_cell_angle_gamma 90.00
loop_
_atom_site_label
_atom_site_type_symbol
_atom_site_fract_x
_atom_site_fract_y
_atom_site_fract_z
Ag1 Ag 0.000 0.000 0.500
Hg1 Hg 0.500 0.500 0.500
Ir1 Ir 0.000 0.000 0.000

---

(10)
# SrLaW2 (PBE-GGA, relaxed)
# Formation energy from the elements = 1.168 eV per atom
# Magnetization = 0.00 μB/f.u.
# E above lowest polymorph = 0.6311 eV per atom
# DOS at the Fermi energy = 7.88 states/eV per cell
data_SrLaW2
_symmetry_space_group_name_H-M 'C 1 2/m 1'
_symmetry_Int_Tables_number 12
_symmetry_space_group_name_Hall '-C 2y'
_cell_length_a 5.833
_cell_length_b 10.755
_cell_length_c 2.879
_cell_angle_alpha 90.00
_cell_angle_beta 90.12
_cell_angle_gamma 90.00
loop_
_atom_site_label
_atom_site_type_symbol
_atom_site_fract_x
_atom_site_fract_y
_atom_site_fract_z
Sr1 Sr 0.000 0.000 0.000
La1 La 0.000 0.500 0.000
W1 W 0.250 0.250 0.500

---

(11)
# AlGaMo2 (PBE-GGA, relaxed)
# Formation energy from the elements = 0.407 eV per atom
# Magnetization = 0.00 μB/f.u.
# E above lowest polymorph = 0.2824 eV per atom
# DOS at the Fermi energy = 14.66 states/eV per cell
data_AlGaMo2
_symmetry_space_group_name_H-M 'I -4 2 d'
_symmetry_Int_Tables_number 122
_symmetry_space_group_name_Hall 'I -4 2bw'
_cell_length_a 6.949
_cell_length_b 6.949
_cell_length_c 5.462
_cell_angle_alpha 90.00
_cell_angle_beta 90.00
_cell_angle_gamma 90.00
loop_
_atom_site_label
_atom_site_type_symbol
_atom_site_fract_x
_atom_site_fract_y
_atom_site_fract_z
Al1 Al 0.000 0.000 0.000
Ga1 Ga 0.000 0.000 0.500
Mo1 Mo 0.247 0.250 0.625

---

(12)
# Cs2CaScAg (PBE-GGA, relaxed)
# Formation energy from the elements = 0.957 eV per atom
# Magnetization = 2.93 μB/f.u.
# DOS at the Fermi energy = 6.65 states/eV per cell
data_Cs2CaScAg
_symmetry_space_group_name_H-M 'P 4/m m m'
_symmetry_Int_Tables_number 123
_symmetry_space_group_name_Hall '-P 4 2'
_cell_length_a 7.616
_cell_length_b 7.616
_cell_length_c 6.223
_cell_angle_alpha 90.00
_cell_angle_beta 90.00
_cell_angle_gamma 90.00
loop_
_atom_site_label
_atom_site_type_symbol
_atom_site_fract_x
_atom_site_fract_y
_atom_site_fract_z
Cs1 Cs 0.000 0.500 0.000
Ca1 Ca 0.000 0.000 0.000
Sc1 Sc 0.000 0.000 0.500
Ag1 Ag 0.500 0.500 0.500

---

- Look up the DOS at the Fermi energy of the third one.
  0.00 states/eV per cell

---

- Which of these has the lowest DOS at the Fermi energy?
  KPm2Br2F5